Here is a relaxed structure of Sm2Ho3ScS6 from Alexandria via LeMat-Bulk. Energies are from PBE.

Values from the calculation:
Its density of states at the Fermi level is 5.5 states/eV/f.u. As for the uncorrected formation energy: -1.958 eV per atom. The calculation puts the total moment at 0.0 μB/cell.

a b c (Å): 3.8894 7.8385 8.7032
angles (deg): 103.00 102.91 90.00
Sites, in units of the cell vectors:
Sm 0.8333 0.6661 0.6666
Sm 0.1667 0.3339 0.3334
S 0.6619 0.0731 0.3237
S 0.0037 0.7606 0.0074
S 0.6637 0.5901 0.3273
S 0.3381 0.9269 0.6763
S 0.9963 0.2394 0.9926
S 0.3363 0.4099 0.6727
Ho 0.8306 0.1657 0.6613
Ho 0.1694 0.8343 0.3387
Ho 0.5000 0.5000 0.0000
Sc 0.5000 0.0000 0.0000

Here is a relaxed structure of Mg4Cu5Te3O18 from Alexandria via LeMat-Bulk. Energies are from PBE.

Values from the calculation:
Its density of states at the Fermi level is 10.0 states/eV/f.u. As for the uncorrected formation energy: -1.284 eV per atom. The calculation puts the total moment at 9.2 μB/cell.

a b c (Å): 8.7641 8.7641 10.4185
angles (deg): 84.06 84.06 61.14
Sites, in units of the cell vectors:
O 0.1150 0.4516 0.3857
O 0.2285 0.9149 0.5730
O 0.0822 0.0665 0.3331
O 0.7149 0.7791 0.8288
O 0.9178 0.9335 0.6669
O 0.8850 0.5484 0.6143
O 0.7715 0.0851 0.4270
O 0.5819 0.8790 0.5957
O 0.7595 0.0962 0.9485
O 0.5695 0.5710 0.5778
O 0.9038 0.2405 0.5515
O 0.4290 0.4305 0.9222
O 0.4239 0.7645 0.8048
O 0.9149 0.2285 0.0730
O 0.2851 0.2209 0.1712
O 0.8790 0.5819 0.0957
O 0.7791 0.7149 0.3288
O 0.2490 0.5496 0.1875
O 0.7645 0.4239 0.3048
O 0.5761 0.2355 0.1952
O 0.4504 0.7510 0.3125
O 0.0962 0.7595 0.4485
O 0.0851 0.7715 0.9270
O 0.2355 0.5761 0.6952
O 0.4181 0.1210 0.4043
O 0.4516 0.1150 0.8857
O 0.7510 0.4504 0.8125
O 0.9335 0.9178 0.1669
O 0.0665 0.0822 0.8331
O 0.4305 0.4290 0.4222
O 0.5484 0.8850 0.1143
O 0.2405 0.9038 0.0515
O 0.5710 0.5695 0.0778
O 0.1210 0.4181 0.9043
O 0.5496 0.2490 0.6875
O 0.2209 0.2851 0.6712
Te 0.3363 0.3535 0.7989
Te 0.0000 0.0000 0.5000
Te 0.6637 0.6465 0.2011
Te 0.0000 0.0000 0.0000
Te 0.6465 0.6637 0.7011
Te 0.3535 0.3363 0.2989
Mg 0.3368 0.0679 0.5801
Mg 0.6417 0.3232 0.5279
Mg 0.3232 0.6417 0.0279
Mg 0.9321 0.6632 0.9199
Mg 0.6768 0.3583 0.9721
Mg 0.6632 0.9321 0.4199
Mg 0.3583 0.6768 0.4721
Mg 0.0679 0.3368 0.0801
Cu 0.4676 0.8620 0.9475
Cu 0.3191 0.9842 0.2376
Cu 0.8620 0.4676 0.4475
Cu 0.8312 0.1688 0.2500
Cu 0.1688 0.8312 0.7500
Cu 0.9842 0.3191 0.7376
Cu 0.6809 0.0158 0.7624
Cu 0.5324 0.1380 0.0525
Cu 0.0158 0.6809 0.2624
Cu 0.1380 0.5324 0.5525

Here is a relaxed structure of NaErSn2Te4 from Alexandria via LeMat-Bulk. Energies are from PBE.

Values from the calculation:
As for the uncorrected formation energy: -0.730 eV per atom. The calculation puts the total moment at 0.0 μB/cell.

a b c (Å): 4.4722 7.8189 7.7670
angles (deg): 71.38 90.00 90.00
Sites, in units of the cell vectors:
Sn 0.5000 0.0000 0.5000
Sn 0.0000 0.0000 0.0000
Na 0.5000 0.5000 0.0000
Te 0.0000 0.2545 0.2606
Te 0.5000 0.7401 0.2624
Te 0.0000 0.7455 0.7394
Te 0.5000 0.2599 0.7376
Er 0.0000 0.5000 0.5000

Here is a relaxed structure of DyYHoIn from Alexandria via LeMat-Bulk. Energies are from PBE.

Values from the calculation:
Its density of states at the Fermi level is 6.3 states/eV/f.u. The distance to the lowest polymorph of the same formula is 0 meV per atom. The calculation puts the total moment at 0.0 μB/cell. The calculation puts the formation energy at -0.2681 eV/atom.

a b c (Å): 4.8331 4.8596 4.8356
angles (deg): 90.00 90.00 90.00
Sites, in units of the cell vectors:
Ho 0.0000 0.5000 0.5000
Y 0.5000 0.0000 0.5000
Dy 0.5000 0.5000 0.0000
In 0.0000 0.0000 0.0000

Here is a relaxed structure of Ac2Sn5Pt3 from Alexandria via LeMat-Bulk. Energies are from PBE.

Values from the calculation:
Its density of states at the Fermi level is 3.4 states/eV/f.u. The distance to the lowest polymorph of the same formula is 21 meV per atom. The calculation puts the total moment at 0.0 μB/cell. The calculation puts the formation energy at -0.7758 eV/atom.

a b c (Å): 4.7087 7.6181 13.8650
angles (deg): 90.00 99.78 90.00
Sites, in units of the cell vectors:
Sn 0.1226 0.2562 0.2453
Sn 0.2887 0.5172 0.5775
Sn 0.5973 0.8862 0.1945
Sn 0.0509 0.5900 0.1018
Sn 0.4027 0.3862 0.8055
Sn 0.7113 0.0172 0.4225
Sn 0.2953 0.9274 0.5906
Sn 0.8774 0.7562 0.7547
Sn 0.7047 0.4274 0.4094
Sn 0.9491 0.0900 0.8982
Pt 0.9476 0.4673 0.8953
Pt 0.2235 0.2143 0.4469
Pt 0.0524 0.9673 0.1047
Pt 0.3925 0.0174 0.7850
Pt 0.6075 0.5174 0.2150
Pt 0.7765 0.7143 0.5531
Ac 0.8268 0.2342 0.6536
Ac 0.5241 0.2545 0.0482
Ac 0.1732 0.7342 0.3464
Ac 0.4759 0.7545 0.9518

Here is a relaxed structure of IrPt12Rh3 from Alexandria via LeMat-Bulk. Energies are from PBE.

Values from the calculation:
Its density of states at the Fermi level is 31.0 states/eV/f.u. The calculation puts the total moment at 0.0 μB/cell. The calculation puts the formation energy at 0.0018 eV/atom.

a b c (Å): 3.9395 3.9395 15.7841
angles (deg): 90.00 90.00 90.00
Sites, in units of the cell vectors:
Ir 0.0000 0.0000 0.0000
Pt 0.5000 0.0000 0.1248
Pt 0.5000 0.5000 0.2503
Pt 0.5000 0.5000 0.7497
Pt 0.5000 0.0000 0.8752
Pt 0.0000 0.5000 0.3751
Pt 0.0000 0.5000 0.1248
Pt 0.5000 0.5000 0.0000
Pt 0.0000 0.5000 0.6249
Pt 0.5000 0.0000 0.6249
Pt 0.5000 0.5000 0.5000
Pt 0.5000 0.0000 0.3751
Pt 0.0000 0.5000 0.8752
Rh 0.0000 0.0000 0.5000
Rh 0.0000 0.0000 0.7502
Rh 0.0000 0.0000 0.2498

Here is a relaxed structure of Ag8HgAu2 from Alexandria via LeMat-Bulk. Energies are from PBE.

Values from the calculation:
Its density of states at the Fermi level is 2.9 states/eV/f.u. The distance to the lowest polymorph of the same formula is 0 meV per atom. The calculation puts the total moment at 0.0 μB/cell. The calculation puts the formation energy at -0.0005 eV/atom.

a b c (Å): 4.1805 6.6057 7.8180
angles (deg): 104.35 105.51 90.00
Sites, in units of the cell vectors:
Ag 0.8616 0.8134 0.7231
Ag 0.3165 0.0898 0.6330
Ag 0.9530 0.2764 0.9061
Ag 0.1384 0.1866 0.2769
Ag 0.5917 0.4573 0.1833
Ag 0.6835 0.9102 0.3670
Ag 0.0470 0.7236 0.0939
Ag 0.4083 0.5427 0.8167
Hg 0.5000 0.0000 0.0000
Au 0.7734 0.3633 0.5468
Au 0.2266 0.6367 0.4532

Here is a relaxed structure of AgSnP2O from Alexandria via LeMat-Bulk. Energies are from PBE.

Values from the calculation:
Its density of states at the Fermi level is 4.2 states/eV/f.u. The distance to the lowest polymorph of the same formula is 0 meV per atom. As for the uncorrected formation energy: 0.544 eV per atom. The calculation puts the total moment at 0.0 μB/cell.

a b c (Å): 5.2174 5.2174 3.8563
angles (deg): 90.00 90.00 90.00
Sites, in units of the cell vectors:
Ag 0.5000 0.5000 0.5000
O 0.0000 0.0000 0.5000
P 0.5000 0.0000 0.0000
P 0.0000 0.5000 0.0000
Sn 0.0000 0.0000 0.0000

Copy entry 2 word for word.
Here is a relaxed structure of Mg4Cu5Te3O18 from Alexandria via LeMat-Bulk. Energies are from PBE.

Values from the calculation:
Its density of states at the Fermi level is 10.0 states/eV/f.u. As for the uncorrected formation energy: -1.284 eV per atom. The calculation puts the total moment at 9.2 μB/cell.

a b c (Å): 8.7641 8.7641 10.4185
angles (deg): 84.06 84.06 61.14
Sites, in units of the cell vectors:
O 0.1150 0.4516 0.3857
O 0.2285 0.9149 0.5730
O 0.0822 0.0665 0.3331
O 0.7149 0.7791 0.8288
O 0.9178 0.9335 0.6669
O 0.8850 0.5484 0.6143
O 0.7715 0.0851 0.4270
O 0.5819 0.8790 0.5957
O 0.7595 0.0962 0.9485
O 0.5695 0.5710 0.5778
O 0.9038 0.2405 0.5515
O 0.4290 0.4305 0.9222
O 0.4239 0.7645 0.8048
O 0.9149 0.2285 0.0730
O 0.2851 0.2209 0.1712
O 0.8790 0.5819 0.0957
O 0.7791 0.7149 0.3288
O 0.2490 0.5496 0.1875
O 0.7645 0.4239 0.3048
O 0.5761 0.2355 0.1952
O 0.4504 0.7510 0.3125
O 0.0962 0.7595 0.4485
O 0.0851 0.7715 0.9270
O 0.2355 0.5761 0.6952
O 0.4181 0.1210 0.4043
O 0.4516 0.1150 0.8857
O 0.7510 0.4504 0.8125
O 0.9335 0.9178 0.1669
O 0.0665 0.0822 0.8331
O 0.4305 0.4290 0.4222
O 0.5484 0.8850 0.1143
O 0.2405 0.9038 0.0515
O 0.5710 0.5695 0.0778
O 0.1210 0.4181 0.9043
O 0.5496 0.2490 0.6875
O 0.2209 0.2851 0.6712
Te 0.3363 0.3535 0.7989
Te 0.0000 0.0000 0.5000
Te 0.6637 0.6465 0.2011
Te 0.0000 0.0000 0.0000
Te 0.6465 0.6637 0.7011
Te 0.3535 0.3363 0.2989
Mg 0.3368 0.0679 0.5801
Mg 0.6417 0.3232 0.5279
Mg 0.3232 0.6417 0.0279
Mg 0.9321 0.6632 0.9199
Mg 0.6768 0.3583 0.9721
Mg 0.6632 0.9321 0.4199
Mg 0.3583 0.6768 0.4721
Mg 0.0679 0.3368 0.0801
Cu 0.4676 0.8620 0.9475
Cu 0.3191 0.9842 0.2376
Cu 0.8620 0.4676 0.4475
Cu 0.8312 0.1688 0.2500
Cu 0.1688 0.8312 0.7500
Cu 0.9842 0.3191 0.7376
Cu 0.6809 0.0158 0.7624
Cu 0.5324 0.1380 0.0525
Cu 0.0158 0.6809 0.2624
Cu 0.1380 0.5324 0.5525

- The highest total moment belongs to which entry?
  Mg4Cu5Te3O18